(1)
The following is a PBE calculation of Na3Tb3ErSe8 after structural relaxation, from Alexandria.

abc: 8.257 8.260 8.522
angles: 119.04 90.00 119.99
Positions (direct):
Se 0.255 0.014 0.273
Se 0.241 0.986 0.727
Se 0.744 0.488 0.732
Se 0.241 0.482 0.727
Se 0.745 0.986 0.727
Se 0.256 0.512 0.268
Se 0.759 0.014 0.273
Se 0.759 0.518 0.273
Er 0.000 0.000 0.500
Na 0.000 0.000 0.000
Na 0.500 0.500 0.000
Na 0.000 0.500 0.000
Tb 0.000 0.500 0.500
Tb 0.500 0.500 0.500
Tb 0.500 0.000 0.500

uncorrected formation energy = -1624 meV/atom
spin magnetization = 0.00 μB per atom
SG = No. 166

---

(2)
The following is a PBE calculation of K3Ge4Pt after structural relaxation, from Alexandria.

abc: 5.680 6.808 12.545
angles: 90.00 90.00 90.00
Positions (direct):
Ge 0.666 0.000 0.619
Ge 0.334 0.500 0.119
Ge 0.055 0.709 0.000
Ge 0.334 0.500 0.881
Ge 0.945 0.209 0.500
Ge 0.055 0.291 0.000
Ge 0.945 0.791 0.500
Ge 0.666 0.000 0.381
K 0.166 0.000 0.234
K 0.834 0.500 0.266
K 0.834 0.500 0.734
K 0.435 0.500 0.500
K 0.166 0.000 0.766
K 0.565 0.000 0.000
Pt 0.316 0.000 0.500
Pt 0.684 0.500 0.000

E_form = -28.1 kJ/mol of atoms
spin magnetization = 0.00 μB per atom
SG = No. 59

---

(3)
The following is a PBE calculation of Ti8NbZn2 after structural relaxation, from Alexandria.

abc: 3.961 3.961 12.127
angles: 90.00 90.00 90.00
Positions (direct):
Ti 0.500 0.500 0.333
Ti 0.000 0.500 0.161
Ti 0.500 0.000 0.500
Ti 0.500 0.500 0.667
Ti 0.500 0.000 0.161
Ti 0.000 0.500 0.839
Ti 0.000 0.500 0.500
Ti 0.500 0.000 0.839
Nb 0.000 0.000 0.000
Zn 0.000 0.000 0.331
Zn 0.000 0.000 0.669

E_form = 12.5 kJ/mol of atoms
spin magnetization = 0.00 μB per atom
SG = No. 123

---

(4)
The following is a PBE calculation of TmZr2Os after structural relaxation, from Alexandria.

abc: 3.298 3.298 8.044
angles: 90.00 90.00 90.00
Last column: magnetic moment on the atom in μB.
Positions (direct):
Tm 0.500 0.500 0.500  0.31
Zr 0.000 0.000 0.798  0.22
Zr 0.000 0.000 0.202  0.22
Os 0.500 0.500 0.000  0.02

E_form = -11.3 kJ/mol of atoms
spin magnetization = 0.27 μB per atom
SG = No. 123

---

(5)
The following is a PBE calculation of Fe5Ni12Ir2 after structural relaxation, from Alexandria.

abc: 4.933 7.293 7.488
angles: 104.86 90.00 109.77
Last column: magnetic moment on the atom in μB.
Positions (direct):
Ir 0.756 0.000 0.000  0.20
Ir 0.244 0.000 0.000  0.20
Fe 0.000 0.000 0.500  2.87
Fe 0.369 0.738 0.119  2.63
Fe 0.287 0.574 0.592  2.89
Fe 0.631 0.262 0.881  2.63
Fe 0.713 0.426 0.408  2.89
Ni 0.603 0.716 0.383  0.71
Ni 0.111 0.223 0.308  0.58
Ni 0.526 0.052 0.345  0.68
Ni 0.474 0.948 0.655  0.68
Ni 0.889 0.777 0.692  0.58
Ni 0.554 0.583 0.870  0.69
Ni 0.029 0.583 0.870  0.69
Ni 0.887 0.284 0.617  0.71
Ni 0.397 0.284 0.617  0.71
Ni 0.971 0.417 0.130  0.69
Ni 0.113 0.716 0.383  0.71
Ni 0.446 0.417 0.130  0.69

E_form = 27.3 kJ/mol of atoms
spin magnetization = 1.16 μB per atom
SG = No. 12

---

(6)
The following is a PBE calculation of TlH3I after structural relaxation, from Alexandria.

abc: 4.226 4.226 4.226
angles: 90.00 90.00 90.00
Last column: magnetic moment on the atom in μB.
Positions (direct):
I 0.500 0.500 0.500  0.23
Tl 0.000 0.000 0.000  0.02
H 0.000 0.000 0.500  0.04
H 0.500 0.000 0.000  0.06
H 0.000 0.500 0.000  0.06

spin magnetization = 0.13 μB per atom
VASP energy = -2.08 eV per atom
SG = No. 221

---

(7)
The following is a PBE calculation of La4TlSn2 after structural relaxation, from Alexandria.

abc: 5.581 6.777 6.777
angles: 111.12 90.00 90.00
Positions (direct):
La 0.000 0.749 0.749
La 0.500 0.000 0.500
La 0.000 0.251 0.251
La 0.500 0.500 0.000
Sn 0.000 0.758 0.242
Sn 0.000 0.242 0.758
Tl 0.500 0.500 0.500

E_form = -50.5 kJ/mol of atoms
spin magnetization = 0.00 μB per atom
SG = No. 65

---

Which value of spin magnetization does entry 2 give?
0.00 μB per atom